# 1
ReAgPb2 after structural relaxation. Source: Alexandria, functional GGA-PBEsol.

## Properties
SG: Imm2, No. 44
Excess energy over the best structure of this formula in the dataset (meV per atom): 9

The structure in CIF format:
```
data_ReAgPb2
_chemical_formula_sum 'Re1 Ag1 Pb2'
_cell_length_a 3.0359
_cell_length_b 4.5477
_cell_length_c 7.0274
_cell_angle_alpha 108.87
_cell_angle_beta 102.47
_cell_angle_gamma 90.00
_space_group_name_H-M_alt 'P 1'
_space_group_IT_number 1
loop_
_space_group_symop_operation_xyz
'x,y,z'
loop_
_atom_site_label
_atom_site_fract_x
_atom_site_fract_y
_atom_site_fract_z
_atom_site_occupancy
Ag1 0.1857 0.6858 0.3715 1
Pb1 0.0114 0.0114 0.0229 1
Pb2 0.8008 0.3008 0.6017 1
Re1 0.5020 0.5020 0.0040 1
```

---

# 2
Re2AgPb after structural relaxation. Source: Alexandria, functional GGA-PBEsol.

## Properties
Total DFT energy (no corrections) (eV per atom): -8.016
SG: P4mm, No. 99

The structure in CIF format:
```
data_Re2AgPb
_chemical_formula_sum 'Re2 Ag1 Pb1'
_cell_length_a 3.0148
_cell_length_b 3.0148
_cell_length_c 8.0593
_cell_angle_alpha 90.00
_cell_angle_beta 90.00
_cell_angle_gamma 90.00
_space_group_name_H-M_alt 'P 1'
_space_group_IT_number 1
loop_
_space_group_symop_operation_xyz
'x,y,z'
loop_
_atom_site_label
_atom_site_fract_x
_atom_site_fract_y
_atom_site_fract_z
_atom_site_occupancy
Ag1 0.0000 0.0000 0.4701 1
Pb1 0.5000 0.5000 0.7634 1
Re1 0.0000 0.0000 0.0466 1
Re2 0.5000 0.5000 0.2199 1
```

---

# 3
Re2AgPb after structural relaxation. Source: Alexandria, functional GGA-PBEsol.

## Properties
Total DFT energy (no corrections) (eV per atom): -7.300
SG: Cmmm, No. 65

The structure in CIF format:
```
data_Re2AgPb
_chemical_formula_sum 'Re2 Ag1 Pb1'
_cell_length_a 2.7557
_cell_length_b 2.7557
_cell_length_c 9.8684
_cell_angle_alpha 90.00
_cell_angle_beta 90.00
_cell_angle_gamma 109.82
_space_group_name_H-M_alt 'P 1'
_space_group_IT_number 1
loop_
_space_group_symop_operation_xyz
'x,y,z'
loop_
_atom_site_label
_atom_site_fract_x
_atom_site_fract_y
_atom_site_fract_z
_atom_site_occupancy
Ag1 0.5000 0.5000 0.5000 1
Pb1 0.5000 0.5000 0.0000 1
Re1 0.0000 0.0000 0.2679 1
Re2 0.0000 0.0000 0.7321 1
```

---

# 4
Re2AgPb after structural relaxation. Source: Alexandria, functional GGA-PBEsol.

## Properties
Total DFT energy (no corrections) (eV per atom): -7.529
SG: I-4m2, No. 119

The structure in CIF format:
```
data_Re2AgPb
_chemical_formula_sum 'Re2 Ag1 Pb1'
_cell_length_a 4.2261
_cell_length_b 4.8024
_cell_length_c 4.2261
_cell_angle_alpha 116.10
_cell_angle_beta 90.00
_cell_angle_gamma 116.10
_space_group_name_H-M_alt 'P 1'
_space_group_IT_number 1
loop_
_space_group_symop_operation_xyz
'x,y,z'
loop_
_atom_site_label
_atom_site_fract_x
_atom_site_fract_y
_atom_site_fract_z
_atom_site_occupancy
Ag1 0.5000 0.0000 0.5000 1
Pb1 0.2500 0.5000 0.7500 1
Re1 0.0000 0.0000 0.0000 1
Re2 0.7500 0.5000 0.2500 1
```

---

# 5
ReAgPb2 after structural relaxation. Source: Alexandria, functional GGA-PBEsol.

## Properties
SG: R-3m, No. 166
Excess energy over the best structure of this formula in the dataset (meV per atom): 24

The structure in CIF format:
```
data_ReAgPb2
_chemical_formula_sum 'Re1 Ag1 Pb2'
_cell_length_a 3.2345
_cell_length_b 3.2345
_cell_length_c 9.3517
_cell_angle_alpha 80.04
_cell_angle_beta 80.04
_cell_angle_gamma 60.00
_space_group_name_H-M_alt 'P 1'
_space_group_IT_number 1
loop_
_space_group_symop_operation_xyz
'x,y,z'
loop_
_atom_site_label
_atom_site_fract_x
_atom_site_fract_y
_atom_site_fract_z
_atom_site_occupancy
Ag1 0.0000 0.0000 0.0000 1
Pb1 0.2445 0.2445 0.2666 1
Pb2 0.7555 0.7555 0.7334 1
Re1 0.5000 0.5000 0.5000 1
```

---

# 6
ReAgPb2 after structural relaxation. Source: Alexandria, functional GGA-PBEsol.

## Properties
SG: P4mm, No. 99
Excess energy over the best structure of this formula in the dataset (meV per atom): 0

The structure in CIF format:
```
data_ReAgPb2
_chemical_formula_sum 'Re1 Ag1 Pb2'
_cell_length_a 3.0216
_cell_length_b 3.0216
_cell_length_c 9.6136
_cell_angle_alpha 90.00
_cell_angle_beta 90.00
_cell_angle_gamma 90.00
_space_group_name_H-M_alt 'P 1'
_space_group_IT_number 1
loop_
_space_group_symop_operation_xyz
'x,y,z'
loop_
_atom_site_label
_atom_site_fract_x
_atom_site_fract_y
_atom_site_fract_z
_atom_site_occupancy
Ag1 0.5000 0.5000 0.7156 1
Pb1 0.0000 0.0000 0.9489 1
Pb2 0.5000 0.5000 0.3079 1
Re1 0.0000 0.0000 0.5277 1
```

---

Calculated values (μB/cell) of total magnetic moment for the records, taken in order: 0.0, 0.0, 0.0, 0.0, 0.0, 0.4.